Mg8Zn2Cd3: relaxed, PBE-GGA.

Properties
* DFT total energy: -1.398 eV per atom
* energy of formation: -0.01 eV/atom
* spin magnetization: 0.00 μB per cell

Cell: 7.643 15.548 4.845 Å, 90.00 90.00 90.00°
Space group Cmmm (No. 65)
Symmetry-distinct sites (fractional):
1 Mg 0.000 0.132 0.000 [4 per cell]
2 Mg 0.000 0.325 0.000 [4 per cell]
3 Mg 0.213 0.379 0.500 [8 per cell]
4 Zn 0.000 0.234 0.500 [4 per cell]
5 Cd 0.000 0.000 0.500 [2 per cell]
6 Cd 0.200 0.500 0.000 [4 per cell]

=====

Cu3P: relaxed, PBE-GGA.

Properties
* DFT total energy: -4.256 eV per atom
* energy of formation: 0.17 eV/atom
* spin magnetization: 0.00 μB per cell

Cell: 2.6680 2.6680 8.1277 Å, 90.00 90.00 120.00°
Space group P-6m2 (No. 187)
Symmetry-distinct sites (fractional):
1 Cu 0.0000 0.0000 0.0000 [1 per cell]
2 Cu 0.3333 0.6667 0.2518 [2 per cell]
3 P 0.0000 0.0000 0.5000 [1 per cell]

=====

YTmMgPt: relaxed, PBE-GGA.

Properties
* DFT total energy: -5.259 eV per atom
* energy of formation: -0.62 eV/atom
* spin magnetization: 0.00 μB per cell

Cell: 7.149 7.149 7.149 Å, 90.00 90.00 90.00°
Space group F-43m (No. 216)
Symmetry-distinct sites (fractional):
1 Y 0.000 0.000 0.000 [4 per cell]
2 Tm 0.000 0.000 0.500 [4 per cell]
3 Mg 0.250 0.250 0.750 [4 per cell]
4 Pt 0.250 0.250 0.250 [4 per cell]

=====

Dy8Ho2Sc: relaxed, PBE-GGA.

Properties
* ΔE to the lowest computed polymorph: 102 meV/atom
* DFT total energy: -4.550 eV per atom
* energy of formation: 0.21 eV/atom
* spin magnetization: 0.00 μB per cell

Cell: 17.172 6.652 6.369 Å, 90.00 109.34 90.00°
Space group C2/m (No. 12)
Symmetry-distinct sites (fractional):
1 Dy 0.063 0.000 0.245 [4 per cell]
2 Dy 0.100 0.261 0.700 [8 per cell]
3 Dy 0.203 0.500 0.321 [4 per cell]
4 Ho 0.222 0.000 0.110 [4 per cell]
5 Sc 0.000 0.500 0.000 [2 per cell]

=====

MgNiH2Cl: relaxed, PBE-GGA.

Properties
* DFT total energy: -3.048 eV per atom
* spin magnetization: 0.98 μB per cell

Cell: 3.529 3.529 5.653 Å, 90.00 90.00 90.00°
Space group P4/mmm (No. 123)
Symmetry-distinct sites (fractional):
1 Mg 0.000 0.000 0.000 [1 per cell]
2 Ni 0.500 0.500 0.500 [1 per cell]
3 H 0.000 0.500 0.000 [2 per cell]
4 Cl 0.000 0.000 0.500 [1 per cell]

=====

Be2Cu2As: relaxed, PBE-GGA.

Properties
* ΔE to the lowest computed polymorph: 10 meV/atom
* DFT total energy: -3.854 eV per atom
* energy of formation: 0.20 eV/atom
* spin magnetization: 0.00 μB per cell

Cell: 6.576 6.576 2.766 Å, 90.00 90.00 90.00°
Space group P4/mbm (No. 127)
Symmetry-distinct sites (fractional):
1 Be 0.134 0.366 0.000 [4 per cell]
2 Cu 0.152 0.652 0.500 [4 per cell]
3 As 0.000 0.000 0.000 [2 per cell]